This record from the Alexandria database describes crystalline Tl3As2Br9 at its relaxed geometry. The functional is PBE.

abc: 7.534 7.534 19.302
angles: 90.00 90.00 120.00
Fractional coordinates of all 28 atoms:
Tl (0.000, 0.000, 0.750)
Tl (0.000, 0.000, 0.250)
Tl (0.667, 0.333, 0.943)
Tl (0.333, 0.667, 0.057)
Tl (0.333, 0.667, 0.443)
Tl (0.667, 0.333, 0.557)
As (0.667, 0.333, 0.157)
As (0.333, 0.667, 0.843)
As (0.333, 0.667, 0.657)
As (0.667, 0.333, 0.343)
Br (0.499, 0.999, 0.750)
Br (0.001, 0.501, 0.750)
Br (0.499, 0.501, 0.750)
Br (0.501, 0.001, 0.250)
Br (0.999, 0.499, 0.250)
Br (0.501, 0.499, 0.250)
Br (0.170, 0.340, 0.916)
Br (0.660, 0.830, 0.916)
Br (0.170, 0.830, 0.916)
Br (0.830, 0.660, 0.084)
Br (0.340, 0.170, 0.084)
Br (0.830, 0.170, 0.084)
Br (0.830, 0.660, 0.416)
Br (0.340, 0.170, 0.416)
Br (0.830, 0.170, 0.416)
Br (0.170, 0.340, 0.584)
Br (0.660, 0.830, 0.584)
Br (0.170, 0.830, 0.584)

Calculated values
Space group: P6_3/mmc, No. 194
ΔE_f (raw): -616 meV per atom